w) Zr2Co2Pd | PBE-GGA | relaxed

The structure in POSCAR format:
```
Zr2Co2Pd
1.0
3.276 0.000 0.000
0.000 3.276 0.000
1.638 1.638 7.939
Co Pd Zr
2 1 2
direct
0.750 0.250 0.500
0.250 0.750 0.500
0.000 0.000 0.000
0.614 0.614 0.773
0.386 0.386 0.227
```

Properties
Its space group is I4/mmm, No. 139. For the total moment, the calculation gives 1.443 Bohr magnetons per cell. The calculation puts the calculated volume at 17.0 Å³ per atom.



x) Zr2Co2Pd | PBE-GGA | relaxed

The structure in POSCAR format:
```
Zr2Co2Pd
1.0
-4.851 -4.678 1.220
4.795 -4.435 2.059
-0.308 1.155 3.204
Pd Co Zr
2 4 4
direct
0.000 0.000 0.000
0.500 0.500 0.000
0.376 0.876 0.000
0.124 0.376 0.000
0.876 0.624 0.000
0.624 0.124 0.000
0.825 0.325 0.500
0.325 0.175 0.500
0.175 0.675 0.500
0.675 0.825 0.500
```

Properties
Its space group is P4/mbm, No. 127. For the total moment, the calculation gives 0.000 Bohr magnetons per cell. The calculation puts the calculated volume at 16.0 Å³ per atom.



Tell me which of them is the least stable. Sure, it is w).



w) ZrCo2Pd2 | PBE-GGA | relaxed

The structure in POSCAR format:
```
ZrCo2Pd2
1.0
3.461 0.000 0.000
0.000 3.461 0.000
1.731 1.731 6.639
Co Pd Zr
2 2 1
direct
0.250 0.750 0.500
0.750 0.250 0.500
0.398 0.398 0.205
0.602 0.602 0.795
0.000 0.000 0.000
```

Properties
Its space group is I4/mmm, No. 139. For the total moment, the calculation gives 3.469 Bohr magnetons per cell. The calculation puts the calculated volume at 15.9 Å³ per atom.



x) ZrCo2Pd2 | PBE-GGA | relaxed

The structure in POSCAR format:
```
ZrCo2Pd2
1.0
-5.924 -0.566 2.498
0.516 -6.429 -0.232
1.405 -0.007 3.329
Co Pd Zr
4 4 2
direct
0.873 0.627 0.000
0.127 0.373 0.000
0.627 0.127 0.000
0.373 0.873 0.000
0.666 0.834 0.500
0.334 0.166 0.500
0.166 0.666 0.500
0.834 0.334 0.500
0.500 0.500 0.000
0.000 0.000 0.000
```

Properties
Its space group is P4/mbm, No. 127. For the total moment, the calculation gives 4.566 Bohr magnetons per cell. The calculation puts the calculated volume at 15.1 Å³ per atom.



Tell me which of them is the least stable. Sure, it is w).



w) Zr6CoPd | PBE-GGA | relaxed

The structure in POSCAR format:
```
Zr6CoPd
1.0
5.614 1.045 -1.375
3.722 6.204 -0.969
1.825 2.005 4.794
Zr Co Pd
6 1 1
direct
0.101 0.128 0.330
0.440 0.330 0.128
0.899 0.872 0.670
0.796 0.745 0.255
0.560 0.670 0.872
0.204 0.255 0.745
0.000 0.000 0.000
0.500 0.500 0.500
```

Properties
Its space group is C2/m, No. 12. For the total moment, the calculation gives 0.000 Bohr magnetons per cell. The calculation puts the calculated volume at 20.3 Å³ per atom.



x) Zr6CoPd | PBE-GGA | relaxed

The structure in POSCAR format:
```
Zr6CoPd
1.0
4.461 0.000 1.343
-0.405 4.441 1.343
-0.023 -0.027 8.156
Zr Pd Co
6 1 1
direct
0.749 0.749 0.502
0.391 0.891 0.218
0.609 0.109 0.782
0.251 0.251 0.498
0.109 0.609 0.782
0.891 0.391 0.218
0.000 0.000 0.000
0.500 0.500 0.000
```

Properties
Its space group is I4/mmm, No. 139. For the total moment, the calculation gives 0.001 Bohr magnetons per cell. The calculation puts the calculated volume at 20.2 Å³ per atom.



Tell me which of them is the least stable. Sure, it is w).



w) Zr7Co2Pd2 | PBE-GGA | relaxed

The structure in POSCAR format:
```
Zr7Co2Pd2
1.0
-5.511 -1.466 -2.309
-0.221 -5.159 3.800
-0.810 3.640 4.894
Co Zr Pd
2 7 2
direct
0.711 0.000 0.289
0.289 0.000 0.711
0.500 0.249 0.500
0.500 0.257 0.000
0.000 0.257 0.500
0.000 0.000 0.000
0.000 0.743 0.500
0.500 0.751 0.500
0.500 0.743 0.000
0.183 0.500 0.183
0.817 0.500 0.817
```

Properties
Its space group is Cmmm, No. 65. For the total moment, the calculation gives 0.000 Bohr magnetons per cell. The calculation puts the calculated volume at 20.9 Å³ per atom.



x) Zr7Co2Pd2 | PBE-GGA | relaxed

The structure in POSCAR format:
```
Zr7Co2Pd2
1.0
-0.023 3.303 0.481
1.399 0.459 8.498
8.161 1.391 2.418
Zr Co Pd
7 2 2
direct
0.866 0.387 0.880
0.500 0.019 0.981
0.814 0.081 0.291
0.371 0.739 0.519
0.134 0.120 0.613
0.629 0.481 0.261
0.186 0.709 0.919
0.731 0.860 0.679
0.269 0.321 0.140
0.000 0.758 0.242
0.500 0.380 0.620
```

Properties
Its space group is Imm2, No. 44. For the total moment, the calculation gives 0.000 Bohr magnetons per cell. The calculation puts the calculated volume at 19.8 Å³ per atom.



Tell me which of them is the least stable. Sure, it is w).



w) Pm2Co | PBE-GGA | relaxed

The structure in POSCAR format:
```
Pm2Co
1.0
-3.925 0.529 0.842
-2.320 -3.186 0.955
-0.534 2.162 5.925
Co Pm
1 2
direct
0.528 0.978 0.992
0.033 0.725 0.234
0.022 0.230 0.750
```

Properties
Its space group is C2/m, No. 12. For the total moment, the calculation gives 0.000 Bohr magnetons per cell. The calculation puts the calculated volume at 27.9 Å³ per atom.



x) Pm2Co | PBE-GGA | relaxed

The structure in POSCAR format:
```
Pm2Co
1.0
3.617 0.000 0.985
1.507 6.167 1.602
0.029 0.015 7.030
Pm Co
4 2
direct
0.823 0.267 0.088
0.422 0.769 0.387
0.177 0.733 0.912
0.578 0.231 0.613
0.884 0.538 0.694
0.116 0.462 0.306
```

Properties
Its space group is C2/m, No. 12. For the total moment, the calculation gives 0.000 Bohr magnetons per cell. The calculation puts the calculated volume at 26.1 Å³ per atom.



Tell me which of them is the least stable. Sure, it is w).



w) Pm4Co | PBE-GGA | relaxed

The structure in POSCAR format:
```
Pm4Co
1.0
6.474 0.000 0.000
0.000 6.778 0.000
0.000 0.000 6.778
Co Pm
2 8
direct
0.000 0.500 0.500
0.000 0.000 0.000
0.760 0.322 0.822
0.240 0.322 0.178
0.760 0.678 0.178
0.760 0.822 0.678
0.240 0.178 0.678
0.760 0.178 0.322
0.240 0.822 0.322
0.240 0.678 0.822
```

Properties
Its space group is P4/nbm, No. 125. For the total moment, the calculation gives 0.001 Bohr magnetons per cell. The calculation puts the calculated volume at 29.7 Å³ per atom.



x) Pm4Co | PBE-GGA | relaxed

The structure in POSCAR format:
```
Pm4Co
1.0
5.428 0.000 0.000
0.000 5.428 0.000
0.000 0.000 5.428
Pm Co
4 1
direct
0.000 0.000 0.000
0.000 0.500 0.500
0.500 0.000 0.500
0.500 0.500 0.000
0.500 0.500 0.500
```

Properties
Its space group is Pm-3m, No. 221. For the total moment, the calculation gives 1.321 Bohr magnetons per cell. The calculation puts the calculated volume at 32.0 Å³ per atom.



y) Pm4Co | PBE-GGA | relaxed

The structure in POSCAR format:
```
Pm4Co
1.0
6.588 0.000 3.556
3.294 6.335 1.778
0.145 0.000 7.612
Pm Co
8 2
direct
0.018 0.258 0.165
0.943 0.740 0.835
0.433 0.758 0.335
0.028 0.240 0.665
0.526 0.242 0.665
0.441 0.742 0.835
0.933 0.760 0.335
0.518 0.260 0.165
0.982 0.000 0.000
0.232 0.500 0.500
```

Properties
Its space group is Fdd2, No. 43. For the total moment, the calculation gives 0.004 Bohr magnetons per cell. The calculation puts the calculated volume at 31.4 Å³ per atom.



Tell me which of them is the least stable. Sure, it is w).



w) PmPr4Co2 | PBE-GGA | relaxed

The structure in POSCAR format:
```
PmPr4Co2
1.0
-3.781 -1.947 -2.167
0.295 -3.832 2.930
-5.345 5.790 4.124
Pr Co Pm
4 2 1
direct
0.000 0.659 0.317
0.500 0.165 0.329
0.500 0.835 0.671
0.000 0.341 0.683
0.500 0.436 0.871
0.500 0.564 0.129
0.000 0.000 0.000
```

Properties
Its space group is Cmmm, No. 65. For the total moment, the calculation gives 1.006 Bohr magnetons per cell. The calculation puts the calculated volume at 28.2 Å³ per atom.



x) PmPr4Co2 | PBE-GGA | relaxed

The structure in POSCAR format:
```
PmPr4Co2
1.0
-6.340 2.444 0.426
-2.895 -8.030 2.995
2.022 4.337 5.218
Pr Co Pm
8 4 2
direct
0.500 0.566 0.283
0.500 0.434 0.717
0.750 0.793 0.770
0.250 0.000 0.669
0.000 0.434 0.717
0.750 0.000 0.331
0.250 0.207 0.230
0.000 0.566 0.283
0.250 0.336 0.963
0.750 0.664 0.037
0.750 0.336 0.373
0.250 0.664 0.627
0.250 0.790 0.021
0.750 0.210 0.979
```

Properties
Its space group is P2_1/m, No. 11. For the total moment, the calculation gives 0.000 Bohr magnetons per cell. The calculation puts the calculated volume at 28.7 Å³ per atom.



Tell me which of them is the least stable. Sure, it is w).



w) Pm3PrCo2 | PBE-GGA | relaxed

The structure in POSCAR format:
```
Pm3PrCo2
1.0
3.720 0.000 0.750
1.585 8.398 1.741
-0.128 -0.201 10.241
Pr Co Pm
2 4 6
direct
0.157 0.436 0.250
0.843 0.564 0.750
0.765 0.423 0.047
0.766 0.922 0.546
0.235 0.577 0.953
0.234 0.078 0.454
0.159 0.934 0.748
0.585 0.776 0.053
0.414 0.728 0.443
0.841 0.066 0.252
0.415 0.224 0.947
0.586 0.272 0.557
```

Properties
Its space group is C2/m, No. 12. For the total moment, the calculation gives 0.004 Bohr magnetons per cell. The calculation puts the calculated volume at 26.8 Å³ per atom.



x) Pm3PrCo2 | PBE-GGA | relaxed

The structure in POSCAR format:
```
Pm3PrCo2
1.0
-2.489 -4.072 -1.787
7.852 -3.148 3.501
-6.681 2.072 4.585
Pm Co Pr
6 4 2
direct
0.637 0.275 0.768
0.680 0.361 0.357
0.933 0.865 0.589
0.363 0.725 0.232
0.067 0.135 0.411
0.320 0.639 0.643
0.504 0.009 0.868
0.219 0.438 0.815
0.496 0.991 0.132
0.781 0.562 0.185
0.124 0.247 0.038
0.876 0.753 0.962
```

Properties
Its space group is C2/m, No. 12. For the total moment, the calculation gives 0.031 Bohr magnetons per cell. The calculation puts the calculated volume at 25.4 Å³ per atom.



Tell me which of them is the least stable. Sure, it is x).



w) PmPrCo2 | PBE-GGA | relaxed

The structure in POSCAR format:
```
PmPrCo2
1.0
3.473 0.000 0.000
0.000 4.905 0.000
0.000 0.000 4.905
Co Pm Pr
2 1 1
direct
0.000 0.500 0.000
0.000 0.000 0.500
0.500 0.500 0.500
0.500 0.000 0.000
```

Properties
Its space group is P4/mmm, No. 123. For the total moment, the calculation gives 0.866 Bohr magnetons per cell. The calculation puts the calculated volume at 20.9 Å³ per atom.



x) PmPrCo2 | PBE-GGA | relaxed

The structure in POSCAR format:
```
PmPrCo2
1.0
3.972 0.000 0.000
0.000 5.665 0.000
0.000 0.000 7.917
Co Pr Pm
4 2 2
direct
0.000 0.327 0.026
0.500 0.842 0.472
0.500 0.158 0.972
0.000 0.673 0.526
0.500 0.643 0.824
0.500 0.357 0.324
0.000 0.858 0.178
0.000 0.142 0.678
```

Properties
Its space group is Pmc2_1, No. 26. For the total moment, the calculation gives 1.971 Bohr magnetons per cell. The calculation puts the calculated volume at 22.3 Å³ per atom.



Tell me which of them is the least stable. Sure, it is w).



w) Pm2PrCo | PBE-GGA | relaxed

The structure in POSCAR format:
```
Pm2PrCo
1.0
3.720 0.000 0.000
1.860 3.222 0.000
1.860 1.074 10.497
Pr Pm Co
1 2 1
direct
0.000 0.000 0.000
0.115 0.115 0.656
0.885 0.885 0.344
0.500 0.500 0.500
```

Properties
Its space group is R-3m, No. 166. For the total moment, the calculation gives 0.400 Bohr magnetons per cell. The calculation puts the calculated volume at 31.4 Å³ per atom.



x) Pm2PrCo | PBE-GGA | relaxed

The structure in POSCAR format:
```
Pm2PrCo
1.0
6.454 0.000 0.000
0.000 7.098 0.000
0.000 0.000 9.852
Pm Co Pr
8 4 4
direct
0.824 0.330 0.930
0.176 0.670 0.430
0.324 0.170 0.070
0.176 0.670 0.070
0.676 0.830 0.570
0.824 0.330 0.570
0.676 0.830 0.930
0.324 0.170 0.430
0.065 0.385 0.250
0.565 0.115 0.750
0.935 0.615 0.750
0.435 0.885 0.250
0.856 0.045 0.250
0.644 0.545 0.250
0.356 0.455 0.750
0.144 0.955 0.750
```

Properties
Its space group is Pnma, No. 62. For the total moment, the calculation gives 0.000 Bohr magnetons per cell. The calculation puts the calculated volume at 28.2 Å³ per atom.



y) Pm2PrCo | PBE-GGA | relaxed

The structure in POSCAR format:
```
Pm2PrCo
1.0
-3.456 -1.698 -0.440
-1.501 -2.115 2.880
-5.807 6.305 4.213
Pr Pm Co
1 2 1
direct
0.501 0.501 0.497
0.277 0.277 0.168
0.055 0.055 0.834
0.666 0.666 0.001
```

Properties
Its space group is R3m, No. 160. For the total moment, the calculation gives 0.001 Bohr magnetons per cell. The calculation puts the calculated volume at 30.2 Å³ per atom.



Tell me which of them is the least stable. Sure, it is w).



w) Pm2PrCo | PBE-GGA | relaxed

The structure in POSCAR format:
```
Pm2PrCo
1.0
-2.878 1.500 1.884
-0.191 -6.315 0.993
5.773 1.078 7.962
Pm Co Pr
4 2 2
direct
0.860 0.720 0.926
0.140 0.280 0.426
0.140 0.280 0.074
0.860 0.720 0.574
0.736 0.472 0.250
0.264 0.528 0.750
0.411 0.822 0.250
0.589 0.178 0.750
```

Properties
Its space group is Cmcm, No. 63. For the total moment, the calculation gives 0.000 Bohr magnetons per cell. The calculation puts the calculated volume at 28.4 Å³ per atom.



x) Pm2PrCo | PBE-GGA | relaxed

The structure in POSCAR format:
```
Pm2PrCo
1.0
-3.473 0.419 -0.218
-0.228 -2.906 -1.948
-1.086 -5.031 7.634
Pm Pr Co
2 1 1
direct
0.000 0.000 0.821
0.000 0.000 0.179
0.500 0.500 0.500
0.500 0.500 0.000
```

Properties
Its space group is P4/mmm, No. 123. For the total moment, the calculation gives 0.891 Bohr magnetons per cell. The calculation puts the calculated volume at 28.3 Å³ per atom.



Tell me which of them is the least stable. Sure, it is x).